# 1
# PBE Tm2PuPaSe4, optimized geometry
# E_tot, eV/atom: -7.3580
# Calculated density, g/cm³: 9.9
# DOS at the Fermi energy, states/eV per atom: 1.354
# Total magnetic moment, μB per atom: 0.877
data_Tm2PuPaSe4
_space_group_name_H-M_alt 'P 1 2/m 1'
_space_group_IT_number 10
_space_group_name_Hall '-P 2y'
_cell_length_a 6.912
_cell_length_b 3.965
_cell_length_c 7.268
_cell_angle_alpha 90.00
_cell_angle_beta 108.27
_cell_angle_gamma 90.00
loop_
_atom_site_label
_atom_site_fract_x
_atom_site_fract_y
_atom_site_fract_z
_atom_site_occupancy
Tm1 0.000 0.000 0.000 1
Tm2 0.500 0.500 0.000 1
Pu1 0.000 0.500 0.500 1
Pa1 0.500 0.000 0.500 1
Se1 0.246 0.500 0.238 1
Se2 0.254 0.000 0.761 1



# 2
# PBE UCd2Ag2O6, optimized geometry
# E_tot, eV/atom: -5.8439
# Calculated density, g/cm³: 7.5
# Total magnetic moment, μB per atom: 0.000
data_UCd2Ag2O6
_space_group_name_H-M_alt 'C 1 2/m 1'
_space_group_IT_number 12
_space_group_name_Hall '-C 2y'
_cell_length_a 6.054
_cell_length_b 9.894
_cell_length_c 6.450
_cell_angle_alpha 90.00
_cell_angle_beta 117.50
_cell_angle_gamma 90.00
loop_
_atom_site_label
_atom_site_fract_x
_atom_site_fract_y
_atom_site_fract_z
_atom_site_occupancy
U1 0.000 0.000 0.000 1
Cd1 0.000 0.340 0.000 1
Ag1 0.000 0.190 0.500 1
O1 0.189 0.000 0.786 1
O2 0.250 0.154 0.196 1



# 3
# PBE Pr2NiSn3Pt4, optimized geometry
# E_tot, eV/atom: -5.8901
# Calculated density, g/cm³: 11.3
# DOS at the Fermi energy, states/eV per atom: 0.712
# Calculated formation energy, eV per formula unit: -7.39
# Total magnetic moment, μB per atom: 0.000
data_Pr2NiSn3Pt4
_space_group_name_H-M_alt 'P -4 m 2'
_space_group_IT_number 115
_space_group_name_Hall 'P -4 -2'
_cell_length_a 4.383
_cell_length_b 4.383
_cell_length_c 11.264
_cell_angle_alpha 90.00
_cell_angle_beta 90.00
_cell_angle_gamma 90.00
loop_
_atom_site_label
_atom_site_fract_x
_atom_site_fract_y
_atom_site_fract_z
_atom_site_occupancy
Pr1 0.000 0.500 0.233 1
Ni1 0.500 0.500 0.000 1
Sn1 0.000 0.000 0.000 1
Sn2 0.000 0.500 0.636 1
Pt1 0.000 0.000 0.500 1
Pt2 0.000 0.500 0.868 1
Pt3 0.500 0.500 0.500 1



# 4
# PBE AsOsRh2, optimized geometry
# E_tot, eV/atom: -7.5343
# Calculated density, g/cm³: 13.4
# DOS at the Fermi energy, states/eV per atom: 1.190
# Calculated formation energy, eV per formula unit: 0.45
# Total magnetic moment, μB per atom: 0.000
data_AsOsRh2
_space_group_name_H-M_alt 'P 1 2/m 1'
_space_group_IT_number 10
_space_group_name_Hall '-P 2y'
_cell_length_a 2.820
_cell_length_b 3.959
_cell_length_c 5.353
_cell_angle_alpha 90.00
_cell_angle_beta 101.72
_cell_angle_gamma 90.00
loop_
_atom_site_label
_atom_site_fract_x
_atom_site_fract_y
_atom_site_fract_z
_atom_site_occupancy
As1 0.000 0.000 0.000 1
Os1 0.000 0.000 0.500 1
Rh1 0.398 0.500 0.250 1



# 5
# PBE CaZr2Co, optimized geometry
# E_tot, eV/atom: -6.0633
# Calculated density, g/cm³: 5.4
# DOS at the Fermi energy, states/eV per atom: 1.420
# Calculated formation energy, eV per formula unit: 1.95
# Energy above the lowest structure with this stoichiometry, kJ per mole of atoms: 43.8
# Total magnetic moment, μB per atom: 0.200
data_CaZr2Co
_space_group_name_H-M_alt 'C 1 2/m 1'
_space_group_IT_number 12
_space_group_name_Hall '-C 2y'
_cell_length_a 5.838
_cell_length_b 10.685
_cell_length_c 3.091
_cell_angle_alpha 90.00
_cell_angle_beta 116.62
_cell_angle_gamma 90.00
loop_
_atom_site_label
_atom_site_fract_x
_atom_site_fract_y
_atom_site_fract_z
_atom_site_occupancy
Ca1 0.000 0.000 0.000 1
Zr1 0.250 0.250 0.500 1
Co1 0.000 0.500 0.000 1



# 6
# PBE Nd2DyGa2, optimized geometry
# E_tot, eV/atom: -4.5023
# Calculated density, g/cm³: 7.2
# DOS at the Fermi energy, states/eV per atom: 0.726
# Calculated formation energy, eV per formula unit: -2.32
# Energy above the lowest structure with this stoichiometry, kJ per mole of atoms: 1.7
# Total magnetic moment, μB per atom: 0.000
data_Nd2DyGa2
_space_group_name_H-M_alt 'C 1 2/m 1'
_space_group_IT_number 12
_space_group_name_Hall '-C 2y'
_cell_length_a 12.060
_cell_length_b 4.727
_cell_length_c 11.038
_cell_angle_alpha 90.00
_cell_angle_beta 120.22
_cell_angle_gamma 90.00
loop_
_atom_site_label
_atom_site_fract_x
_atom_site_fract_y
_atom_site_fract_z
_atom_site_occupancy
Nd1 0.023 0.000 0.185 1
Nd2 0.190 0.000 0.601 1
Dy1 0.205 0.500 0.856 1
Ga1 0.044 0.500 0.413 1
Ga2 0.126 0.500 0.075 1



# 7
# PBE Nd5Er4Sc4, optimized geometry
# E_tot, eV/atom: -5.1347
# Calculated density, g/cm³: 6.6
# DOS at the Fermi energy, states/eV per atom: 1.568
# Calculated formation energy, eV per formula unit: 0.67
# Total magnetic moment, μB per atom: 0.000
data_Nd5Er4Sc4
_space_group_name_H-M_alt 'I 4/m'
_space_group_IT_number 87
_space_group_name_Hall '-I 4'
_cell_length_a 12.621
_cell_length_b 12.621
_cell_length_c 4.943
_cell_angle_alpha 90.00
_cell_angle_beta 90.00
_cell_angle_gamma 90.00
loop_
_atom_site_label
_atom_site_fract_x
_atom_site_fract_y
_atom_site_fract_z
_atom_site_occupancy
Nd1 0.000 0.000 0.000 1
Nd2 0.043 0.195 0.500 1
Er1 0.078 0.384 0.000 1
Sc1 0.156 0.766 0.000 1



# 8
# PBE Li4MgAg7, optimized geometry
# E_tot, eV/atom: -2.6227
# Calculated density, g/cm³: 6.5
# DOS at the Fermi energy, states/eV per atom: 0.242
# Calculated formation energy, eV per formula unit: -2.26
# Energy above the lowest structure with this stoichiometry, kJ per mole of atoms: 0.0
# Total magnetic moment, μB per atom: 0.000
data_Li4MgAg7
_space_group_name_H-M_alt 'P -1'
_space_group_IT_number 2
_space_group_name_Hall '-P 1'
_cell_length_a 5.007
_cell_length_b 5.766
_cell_length_c 7.737
_cell_angle_alpha 75.14
_cell_angle_beta 71.78
_cell_angle_gamma 88.15
loop_
_atom_site_label
_atom_site_fract_x
_atom_site_fract_y
_atom_site_fract_z
_atom_site_occupancy
Li1 0.160 0.173 0.338 1
Li2 0.326 0.572 0.673 1
Mg1 0.500 0.000 0.000 1
Ag1 0.003 0.250 0.002 1
Ag2 0.169 0.668 0.338 1
Ag3 0.342 0.083 0.658 1
Ag4 0.500 0.500 0.000 1



# 9
# PBE ErMnNbRu, optimized geometry
# E_tot, eV/atom: -8.3297
# Calculated density, g/cm³: 10.3
# DOS at the Fermi energy, states/eV per atom: 0.974
# Calculated formation energy, eV per formula unit: -0.24
# Total magnetic moment, μB per atom: 0.106
data_ErMnNbRu
_space_group_name_H-M_alt 'F -4 3 m'
_space_group_IT_number 216
_space_group_name_Hall 'F -4 2 3'
_cell_length_a 6.456
_cell_length_b 6.456
_cell_length_c 6.456
_cell_angle_alpha 90.00
_cell_angle_beta 90.00
_cell_angle_gamma 90.00
loop_
_atom_site_label
_atom_site_fract_x
_atom_site_fract_y
_atom_site_fract_z
_atom_site_occupancy
Er1 0.000 0.000 0.000 1
Mn1 0.250 0.250 0.750 1
Nb1 0.000 0.000 0.500 1
Ru1 0.250 0.250 0.250 1



# 10
# PBE Dy5Bi3, optimized geometry
# E_tot, eV/atom: -5.0132
# Calculated density, g/cm³: 10.1
# DOS at the Fermi energy, states/eV per atom: 0.904
# Calculated formation energy, eV per formula unit: -5.45
# Energy above the lowest structure with this stoichiometry, kJ per mole of atoms: 0.7
# Total magnetic moment, μB per atom: 0.000
data_Dy5Bi3
_space_group_name_H-M_alt 'P n m a'
_space_group_IT_number 62
_space_group_name_Hall '-P 2ac 2n'
_cell_length_a 12.040
_cell_length_b 9.521
_cell_length_c 8.283
_cell_angle_alpha 90.00
_cell_angle_beta 90.00
_cell_angle_gamma 90.00
loop_
_atom_site_label
_atom_site_fract_x
_atom_site_fract_y
_atom_site_fract_z
_atom_site_occupancy
Dy1 0.005 0.250 0.021 1
Dy2 0.064 0.062 0.689 1
Dy3 0.210 0.750 0.339 1
Dy4 0.227 0.250 0.328 1
Bi1 0.029 0.750 0.601 1
Bi2 0.175 0.508 0.063 1



# 11
# PBE Ac6Sn2Ru, optimized geometry
# E_tot, eV/atom: -4.8375
# Calculated density, g/cm³: 6.9
# DOS at the Fermi energy, states/eV per atom: 1.415
# Calculated formation energy, eV per formula unit: -1.61
# Total magnetic moment, μB per atom: 0.000
data_Ac6Sn2Ru
_space_group_name_H-M_alt 'P 42/m n m'
_space_group_IT_number 136
_space_group_name_Hall '-P 4n 2n'
_cell_length_a 7.561
_cell_length_b 7.561
_cell_length_c 14.284
_cell_angle_alpha 90.00
_cell_angle_beta 90.00
_cell_angle_gamma 90.00
loop_
_atom_site_label
_atom_site_fract_x
_atom_site_fract_y
_atom_site_fract_z
_atom_site_occupancy
Ac1 0.191 0.191 0.149 1
Ac2 0.221 0.221 0.500 1
Sn1 0.000 0.000 0.333 1
Ru1 0.000 0.000 0.000 1